Ho2ScHg | Alexandria | PBE-GGA | relaxed; SG = No. 160; relative energy among the computed polymorphs = 74 meV/atom
1.0
1.775 1.025 10.167
-1.775 1.025 10.167
0.000 -2.050 10.167
Ho Sc Hg
2 1 1
direct
0.000 0.000 0.000
0.174 0.174 0.174
0.754 0.754 0.754
0.587 0.587 0.587